Crystalline Tc2SeCl at its relaxed geometry. Source: Alexandria via LeMat-Bulk, functional PBE-GGA.

abc: 9.8964 9.8964 9.8964
angles: 17.45 17.45 17.45
Fractional coordinates of all 4 atoms:
Cl 0.5269 0.5269 0.5269
Se 0.7232 0.7232 0.7232
Tc 0.9954 0.9954 0.9954
Tc 0.2544 0.2544 0.2544

Results
The energy above the most stable polymorph in this dataset is 40 kJ/mol of formula units. Its uncorrected formation energy is -17 meV per atom. For the total energy, the calculation gives -6.532 eV per atom. The crystal system is trigonal.

Crystalline Tc2SeCl at its relaxed geometry. Source: Alexandria via LeMat-Bulk, functional PBE-GGA.

abc: 3.6529 3.6529 9.1274
angles: 78.05 78.05 47.83
Fractional coordinates of all 4 atoms:
Cl 0.4969 0.4969 0.5827
Se 0.2897 0.2897 0.1648
Tc 0.9997 0.9997 0.7888
Tc 0.7137 0.7137 0.9637

Results
The energy above the most stable polymorph in this dataset is 0 kJ/mol of formula units. Its uncorrected formation energy is -122 meV per atom. For the total energy, the calculation gives -6.637 eV per atom. The crystal system is monoclinic.

Crystalline Tc2SeCl at its relaxed geometry. Source: Alexandria via LeMat-Bulk, functional PBE-GGA.

abc: 2.9410 5.5819 4.0850
angles: 90.00 90.00 90.00
Each line ends with the local moment (μB).
Fractional coordinates of all 4 atoms:
Cl 0.5000 0.0000 0.5000  0.03
Se 0.0000 0.5000 0.5000  0.00
Tc 0.0000 0.0000 0.0000  1.37
Tc 0.5000 0.5000 0.0000  -0.39

Results
The energy above the most stable polymorph in this dataset is 320 kJ/mol of formula units. Its uncorrected formation energy is 707 meV per atom. For the total energy, the calculation gives -5.809 eV per atom. The crystal system is orthorhombic.

Crystalline Tc2SeCl at its relaxed geometry. Source: Alexandria via LeMat-Bulk, functional PBE-GGA.

abc: 9.0234 9.0234 9.0234
angles: 161.19 160.43 27.27
Fractional coordinates of all 4 atoms:
Cl 0.5172 0.5172 0.0000
Se 0.2333 0.7333 0.5000
Tc 0.9346 0.9346 0.0000
Tc 0.8148 0.3148 0.5000

Results
The energy above the most stable polymorph in this dataset is 117 kJ/mol of formula units. Its uncorrected formation energy is 182 meV per atom. For the total energy, the calculation gives -6.334 eV per atom. The crystal system is orthorhombic.

Crystalline Tc2SeCl at its relaxed geometry. Source: Alexandria via LeMat-Bulk, functional PBE-GGA.

abc: 3.1020 3.1020 6.3831
angles: 90.00 90.00 90.00
Fractional coordinates of all 4 atoms:
Cl 0.5000 0.5000 0.2500
Se 0.5000 0.5000 0.7500
Tc 0.0000 0.0000 0.9719
Tc 0.0000 0.0000 0.5281

Results
The energy above the most stable polymorph in this dataset is 253 kJ/mol of formula units. Its uncorrected formation energy is 534 meV per atom. For the total energy, the calculation gives -5.982 eV per atom. The crystal system is tetragonal.

Crystalline Tc2SeCl at its relaxed geometry. Source: Alexandria via LeMat-Bulk, functional PBE-GGA.

abc: 4.0496 3.0645 5.3916
angles: 96.92 90.00 90.00
Fractional coordinates of all 4 atoms:
Cl 0.5000 0.2500 0.2500
Se 0.5000 0.7500 0.7500
Tc 0.0000 0.9415 0.0255
Tc 0.0000 0.5585 0.4745

Results
The energy above the most stable polymorph in this dataset is 302 kJ/mol of formula units. Its uncorrected formation energy is 660 meV per atom. For the total energy, the calculation gives -5.856 eV per atom. The crystal system is monoclinic.

Crystalline Tc2SeCl at its relaxed geometry. Source: Alexandria via LeMat-Bulk, functional PBE-GGA.

abc: 4.5488 4.5488 4.5488
angles: 121.70 121.70 87.08
Each line ends with the local moment (μB).
Fractional coordinates of all 4 atoms:
Cl 0.5000 0.5000 0.0000  0.09
Se 0.7500 0.2500 0.5000  0.00
Tc 0.0000 0.0000 0.0000  1.00
Tc 0.2500 0.7500 0.5000  -0.72

Results
The energy above the most stable polymorph in this dataset is 364 kJ/mol of formula units. Its uncorrected formation energy is 822 meV per atom. For the total energy, the calculation gives -5.694 eV per atom. The crystal system is tetragonal.

Crystalline Tc4SeCl at its relaxed geometry. Source: Alexandria via LeMat-Bulk, functional PBE-GGA.

abc: 5.2298 5.2298 5.2298
angles: 60.00 60.00 60.00
Fractional coordinates of all 6 atoms:
Tc 0.8772 0.3743 0.3743
Tc 0.3743 0.3743 0.8772
Tc 0.3743 0.8772 0.3743
Tc 0.3743 0.3743 0.3743
Se 0.0000 0.0000 0.0000
Cl 0.7500 0.7500 0.7500

Results
Its uncorrected formation energy is 1032 meV per atom. For the total energy, the calculation gives -6.767 eV per atom. The crystal system is cubic.

Crystalline Tc2SeCl at its relaxed geometry. Source: Alexandria via LeMat-Bulk, functional PBE-GGA.

abc: 4.3801 4.3801 4.3801
angles: 60.00 60.00 60.00
Fractional coordinates of all 4 atoms:
Tc 0.2500 0.2500 0.2500
Tc 0.7500 0.7500 0.7500
Se 0.5000 0.5000 0.5000
Cl 0.0000 0.0000 0.0000

Results
The energy above the most stable polymorph in this dataset is 262 kJ/mol of formula units. Its uncorrected formation energy is 558 meV per atom. For the total energy, the calculation gives -5.957 eV per atom. The crystal system is cubic.

Crystalline Tc2SeCl at its relaxed geometry. Source: Alexandria via LeMat-Bulk, functional PBE-GGA.

abc: 3.5088 3.0786 7.8004
angles: 78.54 90.00 90.00
Fractional coordinates of all 4 atoms:
Cl 0.0000 0.3522 0.4232
Se 0.5000 0.6179 0.8546
Tc 0.0000 0.0823 0.0355
Tc 0.5000 0.4475 0.1867

Results
The energy above the most stable polymorph in this dataset is 55 kJ/mol of formula units. Its uncorrected formation energy is 21 meV per atom. For the total energy, the calculation gives -6.494 eV per atom. The crystal system is monoclinic.

Crystalline TcSe2Cl5 at its relaxed geometry. Source: Alexandria via LeMat-Bulk, functional PBE-GGA.

abc: 4.7763 8.0591 7.9741
angles: 62.70 72.58 72.76
Each line ends with the local moment (μB).
Fractional coordinates of all 8 atoms:
Tc 0.9348 0.9791 0.9780  2.29
Se 0.7146 0.5815 0.5845  0.01
Se 0.4497 0.4811 0.4805  0.05
Cl 0.7942 0.9237 0.3183  0.03
Cl 0.0627 0.6598 0.0523  0.13
Cl 0.7936 0.3135 0.9291  0.03
Cl 0.0623 0.0592 0.6539  0.13
Cl 0.4113 0.0020 0.0034  0.06

Results
Its uncorrected formation energy is -362 meV per atom. For the total energy, the calculation gives -3.683 eV per atom. The crystal system is triclinic.

Crystalline Tc2SeCl at its relaxed geometry. Source: Alexandria via LeMat-Bulk, functional PBE-GGA.

abc: 3.0120 3.8660 6.7883
angles: 90.00 90.00 90.00
Fractional coordinates of all 4 atoms:
Cl 0.0000 0.0000 0.3872
Se 0.5000 0.5000 0.8609
Tc 0.0000 0.0000 0.0416
Tc 0.5000 0.5000 0.2102

Results
The energy above the most stable polymorph in this dataset is 101 kJ/mol of formula units. Its uncorrected formation energy is 141 meV per atom. For the total energy, the calculation gives -6.375 eV per atom. The crystal system is orthorhombic.

Crystalline Tc2SeCl at its relaxed geometry. Source: Alexandria via LeMat-Bulk, functional PBE-GGA.

abc: 7.9771 7.9771 7.9771
angles: 21.88 21.88 21.88
Fractional coordinates of all 4 atoms:
Cl 0.2500 0.2500 0.2500
Se 0.7500 0.7500 0.7500
Tc 0.0038 0.0038 0.0038
Tc 0.4962 0.4962 0.4962

Results
The energy above the most stable polymorph in this dataset is 191 kJ/mol of formula units. Its uncorrected formation energy is 372 meV per atom. For the total energy, the calculation gives -6.143 eV per atom. The crystal system is trigonal.

Crystalline TcSe4Cl at its relaxed geometry. Source: Alexandria via LeMat-Bulk, functional PBE-GGA.

abc: 6.7397 7.8621 7.6367
angles: 116.64 102.41 102.58
Fractional coordinates of all 12 atoms:
Tc 0.7500 0.9998 0.0002
Tc 0.2499 0.0002 0.9998
Se 0.1126 0.2946 0.1558
Se 0.0322 0.9187 0.2130
Se 0.3851 0.8373 0.6973
Se 0.6148 0.1627 0.3027
Se 0.8874 0.7053 0.8443
Se 0.5273 0.1970 0.9027
Se 0.4727 0.8030 0.0973
Se 0.9678 0.0813 0.7870
Cl 0.2517 0.4232 0.5868
Cl 0.7483 0.5768 0.4132

Results
The energy above the most stable polymorph in this dataset is 0 kJ/mol of formula units. Its uncorrected formation energy is -256 meV per atom. For the total energy, the calculation gives -4.615 eV per atom. The crystal system is triclinic.